First-principles (PBE) data for KSrNb after structural relaxation, as listed in Alexandria via LeMat-Bulk.

As for the total moment: 4.90 μB/f.u. The calculation puts the density at 2.6 Mg/m³. For the energy, the calculation gives -2.97 eV per atom. The calculation puts the relative energy among the computed polymorphs at 967 meV per atom. As for the formation energy: 3.9 eV/f.u.

It has space group P4/nmm (No. 129, origin choice 2), with a = 5.436 Å, b = 5.436 Å, c = 9.533 Å, α = 90.00°, β = 90.00° and γ = 90.00°. The asymmetric unit holds K at (0.250, 0.250, 0.139), Sr at (0.250, 0.750, 0.500) and Nb at (0.250, 0.250, 0.731).

First-principles (PBE) data for K3SrNb after structural relaxation, as listed in Alexandria via LeMat-Bulk.

As for the total moment: 4.71 μB/f.u. The calculation puts the density at 1.2 Mg/m³. For the energy, the calculation gives -1.42 eV per atom. The calculation puts the relative energy among the computed polymorphs at 490 meV per atom. As for the formation energy: 7.9 eV/f.u.

It has space group Pm-3m (No. 221), with a = 7.348 Å, b = 7.348 Å, c = 7.348 Å, α = 90.00°, β = 90.00° and γ = 90.00°. The asymmetric unit holds K at (0.000, 0.000, 0.500), Sr at (0.000, 0.000, 0.000) and Nb at (0.500, 0.500, 0.500).

First-principles (PBE) data for KSrNb after structural relaxation, as listed in Alexandria via LeMat-Bulk.

As for the total moment: 1.77 μB/f.u. The calculation puts the density at 2.8 Mg/m³. For the energy, the calculation gives -3.05 eV per atom. The calculation puts the relative energy among the computed polymorphs at 888 meV per atom. As for the formation energy: 3.7 eV/f.u.

It has space group Pnma (No. 62), with a = 14.403 Å, b = 6.034 Å, c = 5.902 Å, α = 90.00°, β = 90.00° and γ = 90.00°. The asymmetric unit holds K at (0.228, 0.250, 0.006), Sr at (0.000, 0.000, 0.500) and Nb at (0.015, 0.750, 0.000).

First-principles (PBE) data for KSrNb after structural relaxation, as listed in Alexandria via LeMat-Bulk.

As for the total moment: 0.00 μB/f.u. The calculation puts the density at 2.7 Mg/m³. For the energy, the calculation gives -3.59 eV per atom. The calculation puts the relative energy among the computed polymorphs at 353 meV per atom. As for the formation energy: 2.1 eV/f.u.

It has space group P1 (No. 1), with a = 4.468 Å, b = 6.750 Å, c = 9.804 Å, α = 76.58°, β = 89.94° and γ = 70.68°. The asymmetric unit holds K at (0.000, 0.000, 0.000), K at (0.274, 0.419, 0.141), Sr at (0.647, 0.657, 0.708), Sr at (0.882, 0.195, 0.489), Nb at (0.133, 0.673, 0.436) and Nb at (0.618, 0.788, 0.348).

First-principles (PBE) data for KSr3Nb after structural relaxation, as listed in Alexandria via LeMat-Bulk.

As for the total moment: 0.00 μB/f.u. The calculation puts the density at 3.0 Mg/m³. For the energy, the calculation gives -1.57 eV per atom. The calculation puts the relative energy among the computed polymorphs at 945 meV per atom. As for the formation energy: 8.4 eV/f.u.

It has space group Pm-3m (No. 221), with a = 6.019 Å, b = 6.019 Å, c = 6.019 Å, α = 90.00°, β = 90.00° and γ = 90.00°. The asymmetric unit holds K at (0.000, 0.000, 0.000), Sr at (0.000, 0.000, 0.500) and Nb at (0.500, 0.500, 0.500).

First-principles (PBE) data for KSrNb after structural relaxation, as listed in Alexandria via LeMat-Bulk.

As for the total moment: 0.00 μB/f.u. The calculation puts the density at 3.0 Mg/m³. For the energy, the calculation gives -3.63 eV per atom. The calculation puts the relative energy among the computed polymorphs at 313 meV per atom. As for the formation energy: 2.0 eV/f.u.

It has space group P1 (No. 1), with a = 3.531 Å, b = 7.417 Å, c = 10.103 Å, α = 109.38°, β = 94.70° and γ = 99.97°. The asymmetric unit holds K at (0.000, 0.000, 0.000), K at (0.198, 0.582, 0.143), Sr at (0.717, 0.246, 0.445), Sr at (0.889, 0.828, 0.593), Nb at (0.298, 0.524, 0.750) and Nb at (0.573, 0.278, 0.775).

First-principles (PBE) data for KSrNb after structural relaxation, as listed in Alexandria via LeMat-Bulk.

As for the total moment: 5.82 μB/f.u. The calculation puts the density at 2.5 Mg/m³. For the energy, the calculation gives -2.85 eV per atom. The calculation puts the relative energy among the computed polymorphs at 1087 meV per atom. As for the formation energy: 4.3 eV/f.u.

It has space group F-43m (No. 216), with a = 8.384 Å, b = 8.384 Å, c = 8.384 Å, α = 90.00°, β = 90.00° and γ = 90.00°. The asymmetric unit holds K at (0.000, 0.000, 0.000), Sr at (0.000, 0.000, 0.500) and Nb at (0.250, 0.250, 0.750).

First-principles (PBE) data for KSrNb after structural relaxation, as listed in Alexandria via LeMat-Bulk.

As for the total moment: 0.00 μB/f.u. The calculation puts the density at 2.9 Mg/m³. For the energy, the calculation gives -3.69 eV per atom. The calculation puts the relative energy among the computed polymorphs at 252 meV per atom. As for the formation energy: 1.8 eV/f.u.

It has space group P-1 (No. 2), with a = 3.574 Å, b = 5.876 Å, c = 12.094 Å, α = 98.20°, β = 93.22° and γ = 96.72°. The asymmetric unit holds K at (0.217, 0.213, 0.380), Sr at (0.476, 0.348, 0.841) and Nb at (0.127, 0.860, 0.945).

First-principles (PBE) data for KSrNb after structural relaxation, as listed in Alexandria via LeMat-Bulk.

As for the total moment: 5.96 μB/f.u. The calculation puts the density at 1.4 Mg/m³. For the energy, the calculation gives -2.19 eV per atom. The calculation puts the relative energy among the computed polymorphs at 1752 meV per atom. As for the formation energy: 6.3 eV/f.u.

It has space group P6_3/mmc (No. 194), with a = 7.0095 Å, b = 7.0095 Å, c = 12.5456 Å, α = 90.00°, β = 90.00° and γ = 120.00°. The asymmetric unit holds K at (0.3333, 0.6667, 0.2500), Sr at (0.0000, 0.0000, 0.2500) and Nb at (0.0000, 0.0000, 0.0000).

First-principles (PBE) data for KSrNb after structural relaxation, as listed in Alexandria via LeMat-Bulk.

As for the total moment: 0.96 μB/f.u. The calculation puts the density at 3.0 Mg/m³. For the energy, the calculation gives -2.91 eV per atom. The calculation puts the relative energy among the computed polymorphs at 1026 meV per atom. As for the formation energy: 4.1 eV/f.u.

It has space group P4/nmm (No. 129, origin choice 2), with a = 4.103 Å, b = 4.103 Å, c = 14.518 Å, α = 90.00°, β = 90.00° and γ = 90.00°. The asymmetric unit holds K at (0.250, 0.250, 0.230), Sr at (0.250, 0.750, 0.500) and Nb at (0.250, 0.250, 0.992).

First-principles (PBE) data for KSrNb after structural relaxation, as listed in Alexandria via LeMat-Bulk.

As for the total moment: 0.00 μB/f.u. The calculation puts the density at 2.9 Mg/m³. For the energy, the calculation gives -3.52 eV per atom. The calculation puts the relative energy among the computed polymorphs at 415 meV per atom. As for the formation energy: 2.3 eV/f.u.

It has space group Pnma (No. 62), with a = 4.550 Å, b = 6.927 Å, c = 16.202 Å, α = 90.00°, β = 90.00° and γ = 90.00°. The asymmetric unit holds K at (0.204, 0.250, 0.165), Sr at (0.237, 0.250, 0.562) and Nb at (0.242, 0.250, 0.777).

First-principles (PBE) data for KSrNb after structural relaxation, as listed in Alexandria via LeMat-Bulk.

As for the total moment: 0.00 μB/f.u. The calculation puts the density at 3.0 Mg/m³. For the energy, the calculation gives -3.61 eV per atom. The calculation puts the relative energy among the computed polymorphs at 330 meV per atom. As for the formation energy: 2.0 eV/f.u.

It has space group Cm (No. 8), with a = 21.304 Å, b = 6.324 Å, c = 3.563 Å, α = 90.00°, β = 90.46° and γ = 90.00°. The asymmetric unit holds K at (0.000, 0.000, 0.000), K at (0.105, 0.500, 0.987), Sr at (0.274, 0.500, 0.496), Sr at (0.389, 0.000, 0.499), Nb at (0.171, 0.000, 0.495) and Nb at (0.255, 0.000, 0.994).

Which formula does entry 12 have? KSrNb